No. 1
Here is a geometry-optimized Zr3TlHg structure from the Alexandria database. Energies are from PBEsol.

As for the symmetry: No. 221. The value obtained for the energy relative to the elements is 1.073 eV/atom.

Cell: 5.244 5.244 5.244 Å, 90.00 90.00 90.00°
Element x y z (fractional)
Zr1 0.000 0.000 0.500
Zr2 0.000 0.500 0.000
Zr3 0.500 0.000 0.000
Tl1 0.000 0.000 0.000
Hg1 0.500 0.500 0.500

---

No. 2
Here is a geometry-optimized Zr2TlHg structure from the Alexandria database. Energies are from PBEsol.

As for the symmetry: No. 65. The value obtained for the energy relative to the elements is -0.244 eV/atom.

Cell: 6.307 8.460 3.163 Å, 90.00 90.00 90.00°
Element x y z (fractional)
Zr1 0.250 0.250 0.000
Zr2 0.250 0.750 0.000
Zr3 0.750 0.250 0.000
Zr4 0.750 0.750 0.000
Tl1 0.000 0.000 0.500
Tl2 0.500 0.500 0.500
Hg1 0.000 0.500 0.500
Hg2 0.500 0.000 0.500